Density functional theory data (GGA-PBE) for a geometry-optimized Tb4C3 structure.

Unit cell a=6.8475 b=6.8475 c=6.8475 alpha=109.47 beta=109.47 gamma=109.47
Closest atoms and distances in Å follow each position.
Fractional positions:
C 0.7500 0.8750 0.1250  4 Tb 2.45
C 0.6250 0.3750 0.2500  4 Tb 2.45
C 0.2500 0.6250 0.3750  4 Tb 2.45
C 0.3750 0.2500 0.6250  4 Tb 2.45
C 0.8750 0.1250 0.7500  4 Tb 2.45
C 0.1250 0.7500 0.8750  4 Tb 2.45
Tb 0.4066 0.5000 0.0000  3 C 2.45
Tb 0.9066 0.5000 0.0000  3 C 2.45
Tb 0.0934 0.0934 0.0934  3 C 2.45
Tb 0.5000 0.0000 0.4066  3 C 2.45
Tb 0.0000 0.4066 0.5000  3 C 2.45
Tb 0.0000 0.9066 0.5000  3 C 2.45
Tb 0.5934 0.5934 0.5934  3 C 2.45
Tb 0.5000 0.0000 0.9066  3 C 2.45

Values from the calculation:
Space-group type: I-43d (220)
Size of the total moment: 0.001 μB/f.u.

Density functional theory data (GGA-PBE) for a geometry-optimized Tb2Tc2C3 structure.

Unit cell a=6.0843 b=6.0843 c=5.7052 alpha=113.34 beta=113.34 gamma=31.87
Closest atoms and distances in Å follow each position.
Fractional positions:
C 0.0000 0.0000 0.0000  2 Tc 2.00
C 0.7526 0.7526 0.2717  3 Tc 2.08-2.12
C 0.2474 0.2474 0.7283  3 Tc 2.08-2.12
Tb 0.3914 0.3914 0.1799  5 C 2.43-2.56
Tb 0.6086 0.6086 0.8201  5 C 2.43-2.56
Tc 0.1586 0.1586 0.3206  4 C 2.00-2.12
Tc 0.8414 0.8414 0.6794  4 C 2.00-2.12

Values from the calculation:
Space-group type: C2/m (12)
Size of the total moment: 0.007 μB/f.u.

Number 1: total DFT energy (no corrections) -95.14 eV for the cell shown. Number 2: total DFT energy (no corrections) -60.01 eV for the cell shown.